# 1
MgMnAl2: relaxed, PBE.

a b c (Å): 9.0823 9.0823 9.0823
angles (deg): 18.41 18.41 18.41
Positions (direct):
Al  0.0087  0.0087  0.0087
Al  0.4913  0.4913  0.4913
Mg  0.2500  0.2500  0.2500
Mn  0.7500  0.7500  0.7500

DFT formation energy, eV/f.u.: 0.0
Total moment, μB/atom: 0.6424
V, Å³ per cell: 65.27
Symmetry: R-3m, No. 166


# 2
Er7Ga2Ir2: relaxed, PBE.

a b c (Å): 6.6383 6.9147 6.6383
angles (deg): 90.00 106.81 90.00
Positions (direct):
Er  0.0000  0.2582  0.4999
Er  0.4999  0.7418  0.0000
Er  0.0000  0.7418  0.5001
Er  0.5001  0.2582  0.0000
Er  0.0000  0.0000  0.0000
Er  0.5000  0.7484  0.5000
Er  0.5000  0.2516  0.5000
Ga  0.8310  0.5000  0.8310
Ga  0.1690  0.5000  0.1690
Ir  0.7110  0.0000  0.2890
Ir  0.2890  0.0000  0.7110

DFT formation energy, eV/f.u.: -5.4
Total moment, μB/atom: 0.0000
V, Å³ per cell: 291.68
Symmetry: Cmmm, No. 65


# 3
Ba2CeBiS6: relaxed, PBE.

a b c (Å): 7.5245 7.5244 7.3894
angles (deg): 59.39 59.39 60.00
Positions (direct):
Ba  0.5491  0.5490  0.3529
Ba  0.0501  0.0502  0.8495
Ce  0.8151  0.8151  0.5548
Bi  0.3154  0.3154  0.0537
S  0.5853  0.1469  0.2855
S  0.1469  0.9823  0.2856
S  0.9823  0.5853  0.2856
S  0.4853  0.6506  0.7825
S  0.6506  0.0815  0.7825
S  0.0815  0.4853  0.7826

Total moment, μB/atom: 0.0000
E_form (uncorrected), eV/atom: -1.3795
V, Å³ per cell: 293.06
Symmetry: R3, No. 146


# 4
LaTa2TiCl: relaxed, PBE.

a b c (Å): 5.0514 4.9070 5.0514
angles (deg): 90.00 90.00 90.00
Positions (direct):
Cl  0.5000  0.5000  0.5000
La  0.0000  0.0000  0.0000
Ti  0.0000  0.5000  0.0000
Ta  0.0000  0.0000  0.5000
Ta  0.5000  0.0000  0.0000

Total moment, μB/atom: 0.0000
E_form (uncorrected), eV/atom: 2.1159
V, Å³ per cell: 125.21
Symmetry: P4/mmm, No. 123


# 5
PuIr2Os: relaxed, PBE.

a b c (Å): 4.1029 4.0038 4.0038
angles (deg): 90.00 90.00 90.00
Positions (direct):
Ir  0.0000  0.0000  0.5000
Ir  0.0000  0.5000  0.0000
Os  0.5000  0.5000  0.5000
Pu  0.5000  0.0000  0.0000

DFT formation energy, eV/f.u.: -0.7
Total moment, μB/atom: 0.6837
V, Å³ per cell: 65.77
Symmetry: P4/mmm, No. 123


# 6
Ba2NiHgH: relaxed, PBE.

a b c (Å): 6.3668 3.9597 6.3668
angles (deg): 90.00 90.00 90.00
Positions (direct):
Ni  0.5000  0.5000  0.5000
Hg  0.0000  0.0000  0.0000
H  0.0000  0.5000  0.0000
Ba  0.0000  0.0000  0.5000
Ba  0.5000  0.0000  0.0000

Total moment, μB/atom: 0.0003
Raw total energy, eV per atom: -2.26
V, Å³ per cell: 160.51
Symmetry: P4/mmm, No. 123


# 7
CaCu2Bi2: relaxed, PBE.

a b c (Å): 7.7341 7.7341 3.8206
angles (deg): 90.00 90.00 90.00
Positions (direct):
Ca  0.0000  0.0000  0.0000
Ca  0.5000  0.5000  0.0000
Bi  0.1796  0.6796  0.5000
Bi  0.6796  0.8204  0.5000
Bi  0.8204  0.3204  0.5000
Bi  0.3204  0.1796  0.5000
Cu  0.3867  0.8867  0.0000
Cu  0.8867  0.6133  0.0000
Cu  0.6133  0.1133  0.0000
Cu  0.1133  0.3867  0.0000

DFT formation energy, eV/f.u.: -0.6
Total moment, μB/atom: 0.0000
V, Å³ per cell: 228.53
Symmetry: P4/mbm, No. 127


# 8
Sn2BiAs: relaxed, PBE.

a b c (Å): 3.6448 3.6448 7.9303
angles (deg): 90.00 90.00 90.00
Positions (direct):
As  0.5000  0.5000  0.0000
Bi  0.5000  0.5000  0.5000
Sn  0.0000  0.0000  0.7874
Sn  0.0000  0.0000  0.2126

DFT formation energy, eV/f.u.: 0.5
Total moment, μB/atom: 0.0000
V, Å³ per cell: 105.35
Symmetry: P4/mmm, No. 123


# 9
MgTa2Si: relaxed, PBE.

a b c (Å): 5.8931 5.1197 2.8362
angles (deg): 84.61 71.46 119.17
Positions (direct):
Mg  0.0000  0.5000  0.5000
Si  0.5000  0.5000  0.0000
Ta  0.0000  0.0000  0.0000
Ta  0.5000  0.0000  0.5000

Total moment, μB/atom: 0.0000
E_form (uncorrected), eV/atom: 0.0832
V, Å³ per cell: 67.56
Symmetry: C2/m, No. 12


# 10
BRu3Pt: relaxed, PBE.

a b c (Å): 4.7871 4.7871 4.7871
angles (deg): 90.00 90.00 90.00
Positions (direct):
Ru  0.0000  0.5000  0.0000
Ru  0.0000  0.0000  0.5000
Ru  0.5000  0.0000  0.0000
B  0.5000  0.5000  0.5000
Pt  0.0000  0.0000  0.0000

DFT formation energy, eV/f.u.: 13.7
Total moment, μB/atom: 0.9794
V, Å³ per cell: 109.70
Symmetry: Pm-3m, No. 221


# 11
Li2MgInAu4: relaxed, PBE.

a b c (Å): 4.5654 4.5654 8.1641
angles (deg): 73.76 73.76 60.00
Positions (direct):
Li  0.7508  0.7508  0.7475
Li  0.2492  0.2492  0.2525
Mg  0.5000  0.5000  0.5000
In  0.0000  0.0000  0.0000
Au  0.3813  0.3813  0.8560
Au  0.8731  0.8731  0.3807
Au  0.1269  0.1269  0.6193
Au  0.6187  0.6187  0.1440

DFT formation energy, eV/f.u.: -3.9
Total moment, μB/atom: 0.0000
V, Å³ per cell: 139.47
Symmetry: R-3m, No. 166


# 12
Sc2TiNi: relaxed, PBE.

a b c (Å): 3.1848 3.1848 7.1725
angles (deg): 90.00 90.00 90.00
Positions (direct):
Sc  0.0000  0.0000  0.7821
Sc  0.0000  0.0000  0.2179
Ni  0.5000  0.5000  0.0000
Ti  0.5000  0.5000  0.5000

DFT formation energy, eV/f.u.: -0.7
Total moment, μB/atom: 0.0001
V, Å³ per cell: 72.75
Symmetry: P4/mmm, No. 123


# 13
AgSe: relaxed, PBE.

a b c (Å): 4.1092 4.1092 5.9040
angles (deg): 90.00 90.00 120.00
Positions (direct):
Se  0.3333  0.6667  0.2500
Se  0.6667  0.3333  0.7500
Ag  0.0000  0.0000  0.0000
Ag  0.0000  0.0000  0.5000

Total moment, μB/atom: 0.0000
E_form (uncorrected), eV/atom: 0.0389
V, Å³ per cell: 86.33
Symmetry: P6_3/mmc, No. 194


# 14
CsNaSeN2: relaxed, PBE.

a b c (Å): 4.9707 4.9707 6.6630
angles (deg): 90.00 90.00 90.00
Positions (direct):
Cs  0.0000  0.0000  0.0000
Na  0.5000  0.5000  0.5000
Se  0.0000  0.0000  0.5000
N  0.0000  0.5000  0.0000
N  0.5000  0.0000  0.0000

Total moment, μB/atom: 0.7955
E_form (uncorrected), eV/atom: 1.7998
V, Å³ per cell: 164.63
Symmetry: P4/mmm, No. 123


# 15
Li2TaPb: relaxed, PBE.

a b c (Å): 5.0639 5.0639 5.0639
angles (deg): 130.19 130.19 73.10
Positions (direct):
Li  0.0000  0.0000  0.0000
Li  0.2500  0.7500  0.5000
Pb  0.5000  0.5000  0.0000
Ta  0.7500  0.2500  0.5000

DFT formation energy, eV/f.u.: 1.8
Total moment, μB/atom: 0.1896
V, Å³ per cell: 73.99
Symmetry: I-4m2, No. 119


# 16
Tb3Dy4Er3: relaxed, PBE.

a b c (Å): 3.6783 9.2573 9.2573
angles (deg): 90.07 90.00 90.00
Positions (direct):
Tb  0.5000  0.8284  0.1716
Tb  0.5000  0.3279  0.3284
Tb  0.5000  0.6716  0.6721
Dy  0.0000  0.6272  0.3728
Dy  0.0000  0.3725  0.6275
Dy  0.0000  0.8740  0.8724
Dy  0.0000  0.1276  0.1260
Er  0.0000  0.4982  0.9993
Er  0.0000  0.0007  0.5018
Er  0.5000  0.1720  0.8280

DFT formation energy, eV/f.u.: 1.0
Total moment, μB/atom: 0.0000
V, Å³ per cell: 315.22
Symmetry: Amm2, No. 38


# 17
DyIn2Ag2: relaxed, PBE.

a b c (Å): 5.0151 5.0151 6.0101
angles (deg): 90.00 90.00 120.00
Positions (direct):
Dy  0.3333  0.6667  0.0000
In  0.3333  0.6667  0.5000
In  0.6667  0.3333  0.0000
Ag  0.0000  0.0000  0.2489
Ag  0.0000  0.0000  0.7511

DFT formation energy, eV/f.u.: 0.3
Total moment, μB/atom: 0.0000
V, Å³ per cell: 130.91
Symmetry: P-6m2, No. 187


# 18
CsK4TlO4: relaxed, PBE.

a b c (Å): 6.9661 12.2485 21.6622
angles (deg): 90.00 90.00 90.00
Positions (direct):
Cs  0.4145  0.6600  0.9990
Cs  0.5855  0.3400  0.0010
Cs  0.0855  0.6600  0.4990
Cs  0.9145  0.8400  0.9990
Cs  0.9145  0.3400  0.5010
Cs  0.5855  0.8400  0.4990
Cs  0.0855  0.1600  0.0010
Cs  0.4145  0.1600  0.5010
K  0.4207  0.5751  0.7480
K  0.9117  0.1741  0.8252
K  0.0883  0.8259  0.1748
K  0.9114  0.0570  0.4333
K  0.4078  0.1972  0.1461
K  0.9114  0.5570  0.0667
K  0.4114  0.4430  0.4333
K  0.0922  0.6972  0.8539
K  0.5793  0.4249  0.2520
K  0.9117  0.6741  0.6748
K  0.5883  0.6741  0.1748
K  0.4117  0.3259  0.8252
K  0.4207  0.0751  0.7520
K  0.0886  0.9430  0.5667
K  0.5922  0.3028  0.6461
K  0.0883  0.3259  0.3252
K  0.4078  0.6972  0.3539
K  0.0886  0.4430  0.9333
K  0.0793  0.0751  0.2520
K  0.5886  0.0570  0.9333
K  0.9078  0.8028  0.3539
K  0.0922  0.1972  0.6461
K  0.4117  0.8259  0.6748
K  0.5793  0.9249  0.2480
K  0.5922  0.8028  0.8539
K  0.0793  0.5751  0.2480
K  0.9207  0.4249  0.7520
K  0.9207  0.9249  0.7480
K  0.9078  0.3028  0.1461
K  0.5886  0.5570  0.5667
K  0.5883  0.1741  0.3252
K  0.4114  0.9430  0.0667
Tl  0.8091  0.0375  0.1272
Tl  0.6909  0.0375  0.6272
Tl  0.1909  0.4625  0.6272
Tl  0.8091  0.5375  0.3728
Tl  0.3091  0.9625  0.3728
Tl  0.3091  0.4625  0.1272
Tl  0.6909  0.5375  0.8728
Tl  0.1909  0.9625  0.8728
O  0.3356  0.8797  0.9505
O  0.2173  0.8727  0.2878
O  0.7155  0.3642  0.3664
O  0.3747  0.0419  0.6248
O  0.2845  0.6358  0.6336
O  0.2827  0.8727  0.7878
O  0.7827  0.1273  0.7122
O  0.7173  0.1273  0.2122
O  0.1644  0.8797  0.4505
O  0.1644  0.3797  0.0495
O  0.6644  0.1203  0.0495
O  0.3747  0.5419  0.8752
O  0.2173  0.3727  0.2122
O  0.3356  0.3797  0.5495
O  0.2845  0.1358  0.8664
O  0.8747  0.9581  0.8752
O  0.7155  0.8642  0.1336
O  0.2155  0.6358  0.1336
O  0.8356  0.1203  0.5495
O  0.8747  0.4581  0.6248
O  0.6253  0.4581  0.1248
O  0.6644  0.6203  0.4505
O  0.1253  0.5419  0.3752
O  0.7845  0.8642  0.6336
O  0.6253  0.9581  0.3752
O  0.2827  0.3727  0.7122
O  0.7845  0.3642  0.8664
O  0.7827  0.6273  0.7878
O  0.1253  0.0419  0.1248
O  0.8356  0.6203  0.9505
O  0.7173  0.6273  0.2878
O  0.2155  0.1358  0.3664

Total moment, μB/atom: 0.0117
E_form (uncorrected), eV/atom: -1.1265
V, Å³ per cell: 1848.31
Symmetry: Pbca, No. 61